YBMo3: relaxed, PBE.

a b c (Å): 4.373 4.373 4.373
angles (deg): 90.00 90.00 90.00
Fractional coordinates of all 5 atoms:
Y: 0.000 0.000 0.000
B: 0.500 0.500 0.500
Mo: 0.000 0.500 0.500
Mo: 0.500 0.000 0.500
Mo: 0.500 0.500 0.000

**Formation energy from the elements**: 0.2532 eV per atom
**Offset from the most stable computed form**: 0.0 meV/atom
**VASP energy**: -0.32610 hartree per atom